(1)
Crystalline InNi2Au2 at its relaxed geometry. Source: the Alexandria database, functional GGA-PBEsol.

extended XYZ file:
```
10
Lattice="-3.460 -0.201 1.058 1.917 -0.334 6.207 -0.248 6.486 0.425" Properties=species:S:1:pos:R:3 pbc="T T T"
Au -0.664 5.098 5.007
Au -1.580 4.153 1.831
Au -1.127 0.853 2.682
Au -0.211 1.798 5.859
Ni 1.173 0.624 3.956
Ni 1.515 3.786 5.676
Ni 0.154 2.366 0.956
Ni 0.496 5.528 2.676
In 0.000 0.000 0.000
In 0.834 3.076 3.316
```

Summary:
excess energy over the best structure of this formula in the dataset	0	meV per atom
energy of formation	-0.09	eV/f.u.
Fermi-level density of states	6.0	states/eV/cell


(2)
Crystalline BaLa2NbTc at its relaxed geometry. Source: the Alexandria database, functional GGA-PBEsol.

extended XYZ file:
```
5
Lattice="5.432 0.000 0.000 0.000 5.432 0.000 0.000 0.000 5.769" Properties=species:S:1:pos:R:3 pbc="T T T"
Tc 2.716 2.716 2.885
Nb 0.000 0.000 0.000
La 0.000 2.716 0.000
La 2.716 0.000 0.000
Ba 0.000 0.000 2.885
```

Summary:
energy of formation	6.80	eV/f.u.
Fermi-level density of states	7.5	states/eV/cell


(3)
Crystalline In2SbW at its relaxed geometry. Source: the Alexandria database, functional GGA-PBEsol.

extended XYZ file:
```
4
Lattice="-0.615 0.075 2.931 -2.575 -0.879 -1.252 2.772 -9.292 0.818" Properties=species:S:1:pos:R:3 pbc="T T T"
W -1.595 -0.402 0.839
In 2.156 -7.226 0.636
In 0.616 -2.066 0.182
Sb -0.209 -5.048 1.248
```

Summary:
uncorrected formation energy	551	meV per atom
Fermi-level density of states	2.5	states/eV/cell


(4)
Crystalline NaDyPd6O8 at its relaxed geometry. Source: the Alexandria database, functional GGA-PBEsol.

extended XYZ file:
```
16
Lattice="5.718 0.000 0.000 0.000 5.718 0.000 0.000 0.000 5.718" Properties=species:S:1:pos:R:3 pbc="T T T"
Pd 2.859 1.432 0.000
Pd 1.432 0.000 2.859
Pd 4.287 0.000 2.859
Pd 2.859 4.287 0.000
Pd 0.000 2.859 1.432
Pd 0.000 2.859 4.287
O 4.338 4.338 1.380
O 1.380 4.338 4.338
O 4.338 1.380 1.380
O 4.338 4.338 4.338
O 1.380 1.380 1.380
O 1.380 1.380 4.338
O 4.338 1.380 4.338
O 1.380 4.338 1.380
Dy 0.000 0.000 0.000
Na 2.859 2.859 2.859
```

Summary:
uncorrected formation energy	-1157	meV per atom
Fermi-level density of states	2.5	states/eV/cell


(5)
Crystalline TiPO4 at its relaxed geometry. Source: the Alexandria database, functional GGA-PBEsol.

extended XYZ file:
```
36
Lattice="8.278 -0.142 -0.101 3.798 7.356 -0.101 3.798 2.269 6.998" Properties=species:S:1:pos:R:3 pbc="T T T"
O 2.139 2.136 2.670
O 12.030 9.124 5.631
O 10.832 5.613 6.067
O 8.299 5.733 5.226
O 4.093 3.524 3.431
O 4.842 7.205 1.727
O 5.043 3.871 0.728
O 11.032 2.279 5.068
O 5.961 5.395 3.047
O 10.099 7.093 0.528
O 8.981 6.425 2.666
O 11.781 5.960 3.364
O 12.980 6.676 6.829
O 10.076 7.957 4.562
O 13.736 7.348 4.126
O 5.799 1.527 2.233
O 5.775 2.391 6.267
O 9.914 4.089 3.748
O 8.639 1.908 0.249
O 7.576 3.751 1.569
O 6.893 3.059 4.129
O 7.235 7.575 6.546
O 2.895 2.808 -0.034
O 3.844 0.360 1.164
Ti 10.100 6.034 4.324
Ti 13.711 8.191 5.869
Ti 5.774 3.450 2.472
Ti 0.000 0.000 0.000
Ti 7.937 4.742 3.398
Ti 2.163 1.292 0.926
P 4.918 6.560 3.153
P 9.057 7.568 1.597
P 7.767 6.105 6.653
P 8.107 3.379 0.143
P 10.956 2.924 3.642
P 6.817 1.916 5.198
```

Summary:
uncorrected formation energy	-2520	meV per atom
Fermi-level density of states	14.5	states/eV/cell


(6)
Crystalline Cu7P12S9Cl7 at its relaxed geometry. Source: the Alexandria database, functional GGA-PBEsol.

extended XYZ file:
```
70
Lattice="-1.374 -5.762 -1.212 9.756 0.459 -13.245 6.133 -4.529 14.584" Properties=species:S:1:pos:R:3 pbc="T T T"
P 5.065 -6.440 7.141
P 5.561 -1.047 -3.977
P 7.973 -8.249 3.370
P 11.207 -2.494 -3.501
P 5.857 -8.349 6.242
P 9.606 -4.066 -3.289
P 10.902 -8.475 2.068
P 9.895 -1.525 -6.621
P 12.127 -4.853 -1.459
P 5.493 -8.730 9.412
P 6.161 -3.183 -3.579
P 6.428 -1.688 -1.914
P 9.400 -6.917 4.497
P 9.827 -2.559 -1.627
P 3.318 -2.597 -2.201
P 5.134 -5.406 2.148
P 7.647 -0.949 -6.810
P 8.727 -2.342 -9.545
P 8.532 -6.276 2.434
P 2.092 -6.219 1.326
P 4.528 -7.367 3.080
P 7.313 -7.016 7.330
P 3.753 -5.471 4.021
P 8.276 -3.084 -6.451
Cl 7.296 -6.455 -5.073
Cl 10.201 -4.498 7.358
Cl 3.767 -2.850 6.816
Cl 11.211 -5.043 -6.280
Cl 7.717 -2.664 1.453
Cl 13.076 -8.383 -0.883
Cl 1.140 -2.707 0.746
Cl 7.260 -5.229 -0.917
Cl 5.908 -6.229 12.085
Cl 13.494 -5.872 1.787
Cl 0.721 -5.218 -1.924
Cl 8.307 -4.861 -12.222
Cl 6.775 -5.237 4.809
Cl 4.777 -3.395 -6.823
Cu 7.165 -4.856 1.339
Cu 4.534 -5.630 -7.079
Cu 5.070 -9.787 11.218
Cu 10.393 -7.131 -6.585
Cu 8.813 -2.698 -11.648
Cu 0.377 -6.321 0.058
Cu 6.795 -7.301 -1.701
Cu 1.347 -3.050 -1.514
Cu 13.506 -6.164 -0.489
Cu 3.568 -5.025 6.224
Cu 7.809 -4.305 -4.621
Cu 7.288 -3.086 5.261
Cu 9.427 -6.526 6.718
Cu 12.535 -9.435 1.083
S 7.343 -0.905 -8.869
S 4.335 -2.292 3.114
S 10.558 -3.886 3.638
S 4.383 -4.161 -3.135
S 10.037 -6.816 1.101
S 6.737 -4.065 8.825
S 8.204 -3.981 -8.322
S 1.844 -5.306 3.207
S 11.257 -7.717 4.001
S 3.784 -5.215 0.574
S 7.417 -7.898 9.213
S 3.504 -1.086 -3.657
S 4.723 -1.986 -0.757
S 12.916 -3.497 -2.863
S 10.976 -3.588 -0.230
S 4.258 -7.089 8.947
S 10.503 -1.714 -8.603
S 10.606 -5.755 -2.611
```

Summary:
uncorrected formation energy	-329	meV per atom


(7)
Crystalline TlFeTe2 at its relaxed geometry. Source: the Alexandria database, functional GGA-PBEsol.

extended XYZ file:
```
4
Lattice="5.141 0.000 0.000 2.571 4.452 0.000 2.571 1.484 4.198" Properties=species:S:1:pos:R:3 pbc="T T T"
Fe 0.000 0.000 0.000
Te 2.571 1.484 1.049
Te 7.712 4.452 3.148
Tl 5.141 2.968 2.099
```

Summary:
uncorrected formation energy	487	meV per atom
Fermi-level density of states	6.9	states/eV/cell


(8)
Crystalline K2SrSiW at its relaxed geometry. Source: the Alexandria database, functional GGA-PBEsol.

extended XYZ file:
```
5
Lattice="-2.991 3.351 2.441 -3.942 -0.356 -4.341 -2.676 -4.422 2.792" Properties=species:S:1:pos:R:3 pbc="T T T"
Si -4.804 -0.714 0.446
Sr 0.000 0.000 0.000
K -1.338 -2.211 1.396
K -1.971 -0.178 -2.171
W -1.495 1.675 1.220
```

Summary:
uncorrected formation energy	2198	meV per atom
Fermi-level density of states	4.7	states/eV/cell


(9)
Crystalline BaZnCd2 at its relaxed geometry. Source: the Alexandria database, functional GGA-PBEsol.

extended XYZ file:
```
4
Lattice="-4.426 1.199 -0.995 -3.555 -2.597 1.623 -2.857 2.835 5.062" Properties=species:S:1:pos:R:3 pbc="T T T"
Cd -8.007 -0.962 1.270
Cd -2.719 0.526 1.668
Zn -5.386 0.167 2.034
Ba -8.126 1.035 4.205
```

Summary:
energy of formation	-0.74	eV/f.u.
Fermi-level density of states	2.9	states/eV/cell


(10)
Crystalline Y2MnCl at its relaxed geometry. Source: the Alexandria database, functional GGA-PBEsol.

extended XYZ file:
```
4
Lattice="-3.501 2.921 2.122 -4.464 -1.940 1.263 -1.191 -0.620 4.846" Properties=species:S:1:pos:R:3 pbc="T T T"
Y -6.867 0.270 6.174
Y 0.000 0.000 0.000
Mn -2.289 0.090 2.058
Cl -4.578 0.180 4.116
```

Summary:
excess energy over the best structure of this formula in the dataset	709	meV per atom
uncorrected formation energy	424	meV per atom
Fermi-level density of states	5.4	states/eV/cell


(11)
Crystalline LaTcP2 at its relaxed geometry. Source: the Alexandria database, functional GGA-PBEsol.

extended XYZ file:
```
4
Lattice="-0.220 3.325 2.395 -1.653 -0.276 3.746 3.815 -0.045 3.928" Properties=species:S:1:pos:R:3 pbc="T T T"
Tc 0.000 0.000 0.000
P 1.983 2.127 7.775
P -0.041 0.877 2.294
La 0.971 1.502 5.035
```

Summary:
excess energy over the best structure of this formula in the dataset	0	meV per atom
energy of formation	-3.85	eV/f.u.
Fermi-level density of states	1.7	states/eV/cell


(12)
Crystalline TbZr3 at its relaxed geometry. Source: the Alexandria database, functional GGA-PBEsol.

extended XYZ file:
```
4
Lattice="3.247 0.000 0.000 -1.623 2.812 0.000 0.000 0.000 10.454" Properties=species:S:1:pos:R:3 pbc="T T T"
Zr 0.000 0.000 5.227
Zr 0.000 1.875 7.724
Zr 0.000 1.875 2.731
Tb 0.000 0.000 0.000
```

Summary:
energy of formation	0.24	eV/f.u.
Fermi-level density of states	4.7	states/eV/cell


| no. | E_tot (eV/atom) |
| --- | --- |
| 1 | -4.647 |
| 2 | -5.626 |
| 3 | -5.532 |
| 4 | -6.415 |
| 5 | -8.372 |
| 6 | -4.710 |
| 7 | -4.175 |
| 8 | -2.535 |
| 9 | -1.716 |
| 10 | -5.930 |
| 11 | -8.012 |
| 12 | -8.009 |